No. 1
A PBEsol-optimized structure of CePrO4, computed with SCAN.

Values from the calculation:
Energy relative to the elements, uncorrected   -3.282 eV per atom

Unit cell a=3.870 b=3.870 c=5.594 alpha=90.00 beta=90.00 gamma=90.00
Positions (direct):
Pr  0.500  0.500  0.500
O  0.500  0.000  0.763
O  0.000  0.500  0.237
O  0.500  0.000  0.237
O  0.000  0.500  0.763
Ce  0.000  0.000  0.000

No. 2
A PBEsol-optimized structure of TaTl2Os, computed with SCAN.

Values from the calculation:
Relative energy among the computed polymorphs   2.07 eV per formula unit

Unit cell a=3.038 b=5.141 c=5.696 alpha=116.83 beta=105.46 gamma=90.00
Positions (direct):
Os  0.500  0.000  0.000
Ta  0.000  0.500  0.000
Tl  0.762  0.762  0.523
Tl  0.238  0.238  0.477

No. 3
A PBEsol-optimized structure of LiAgRu, computed with SCAN.

Unit cell a=2.532 b=4.177 c=4.763 alpha=116.01 beta=105.41 gamma=90.00
Positions (direct):
Ag  0.999  0.999  0.997
Li  0.667  0.667  0.334
Ru  0.334  0.334  0.669

No. 4
A PBEsol-optimized structure of Ag3Au5, computed with SCAN.

Unit cell a=3.974 b=5.802 c=5.802 alpha=90.43 beta=90.00 gamma=90.00
Positions (direct):
Au  0.000  0.000  0.000
Au  0.000  0.000  0.500
Au  0.000  0.500  0.000
Au  0.500  0.749  0.251
Au  0.500  0.251  0.749
Ag  0.000  0.500  0.500
Ag  0.500  0.251  0.251
Ag  0.500  0.749  0.749

No. 5
A PBEsol-optimized structure of Mo3AuO, computed with SCAN.

Values from the calculation:
Relative energy among the computed polymorphs   15.27 eV per formula unit
Energy relative to the elements, uncorrected   2.819 eV per atom

Unit cell a=4.778 b=4.778 c=4.778 alpha=90.00 beta=90.00 gamma=90.00
Positions (direct):
Mo  0.000  0.500  0.000
Mo  0.000  0.000  0.500
Mo  0.500  0.000  0.000
Au  0.000  0.000  0.000
O  0.500  0.500  0.500

No. 6
A PBEsol-optimized structure of TaTl2In, computed with SCAN.

Values from the calculation:
Relative energy among the computed polymorphs   0.48 eV per formula unit

Unit cell a=3.311 b=4.226 c=6.251 alpha=90.00 beta=90.00 gamma=90.00
Positions (direct):
In  0.500  0.500  0.000
Ta  0.500  0.500  0.500
Tl  0.000  0.000  0.739
Tl  0.000  0.000  0.261

No. 7
A PBEsol-optimized structure of Mg2ZnIn, computed with SCAN.

Unit cell a=3.197 b=3.197 c=9.516 alpha=80.33 beta=80.33 gamma=60.00
Positions (direct):
Zn  0.500  0.500  0.500
Mg  0.243  0.243  0.271
Mg  0.757  0.757  0.729
In  0.000  0.000  0.000

No. 8
A PBEsol-optimized structure of KY3Br, computed with SCAN.

Values from the calculation:
Energy relative to the elements, uncorrected   0.067 eV per atom

Unit cell a=5.512 b=5.512 c=5.512 alpha=90.00 beta=90.00 gamma=90.00
Positions (direct):
Y  0.000  0.500  0.000
Y  0.000  0.000  0.500
Y  0.500  0.000  0.000
K  0.500  0.500  0.500
Br  0.000  0.000  0.000

No. 9
A PBEsol-optimized structure of Fe2HPdAu, computed with SCAN.

Unit cell a=3.806 b=3.806 c=3.906 alpha=90.00 beta=90.00 gamma=90.00
Positions (direct):
H  0.000  0.000  0.000
Au  0.500  0.500  0.500
Fe  0.000  0.500  0.000
Fe  0.500  0.000  0.000
Pd  0.000  0.000  0.500

No. 10
A PBEsol-optimized structure of LaScPb2, computed with SCAN.

Unit cell a=3.442 b=4.324 c=7.126 alpha=90.00 beta=89.99 gamma=90.00
Positions (direct):
Pb  0.000  0.000  0.778
Pb  0.000  0.000  0.222
Sc  0.500  0.500  0.000
La  0.500  0.500  0.500

No. 11
A PBEsol-optimized structure of CdCoPt2, computed with SCAN.

Unit cell a=3.923 b=3.923 c=4.743 alpha=114.43 beta=114.43 gamma=90.00
Positions (direct):
Co  0.000  0.000  0.000
Pt  0.750  0.250  0.500
Pt  0.250  0.750  0.500
Cd  0.500  0.500  0.000

No. 12
A PBEsol-optimized structure of Re3IO, computed with SCAN.

Values from the calculation:
Energy relative to the elements, uncorrected   1.464 eV per atom

Unit cell a=4.176 b=4.176 c=4.176 alpha=90.00 beta=90.00 gamma=90.00
Positions (direct):
I  0.500  0.500  0.500
Re  0.000  0.500  0.000
Re  0.000  0.000  0.500
Re  0.500  0.000  0.000
O  0.000  0.000  0.000

No. 13
A PBEsol-optimized structure of Zr2RuSe, computed with SCAN.

Values from the calculation:
Energy relative to the elements, uncorrected   -0.776 eV per atom

Unit cell a=3.202 b=3.202 c=6.949 alpha=90.00 beta=90.00 gamma=90.00
Positions (direct):
Ru  0.500  0.500  0.000
Se  0.500  0.500  0.500
Zr  0.000  0.000  0.762
Zr  0.000  0.000  0.238

No. 14
A PBEsol-optimized structure of CdInSb2, computed with SCAN.

Values from the calculation:
Energy relative to the elements, uncorrected   0.032 eV per atom

Unit cell a=3.035 b=4.109 c=8.575 alpha=90.00 beta=99.67 gamma=90.00
Positions (direct):
Sb  0.933  0.000  0.000
Sb  0.815  0.500  0.744
Cd  0.678  0.000  0.482
In  0.074  0.500  0.273

No. 15
A PBEsol-optimized structure of Mn2NbReN, computed with SCAN.

Values from the calculation:
Energy relative to the elements, uncorrected   1.522 eV per atom

Unit cell a=3.856 b=4.663 c=4.663 alpha=90.00 beta=90.00 gamma=90.00
Positions (direct):
Re  0.500  0.500  0.500
Nb  0.000  0.000  0.000
Mn  0.000  0.000  0.500
Mn  0.000  0.500  0.000
N  0.500  0.000  0.000

No. 16
A PBEsol-optimized structure of Be2SiBr, computed with SCAN.

Values from the calculation:
Relative energy among the computed polymorphs   2.62 eV per formula unit
Energy relative to the elements, uncorrected   0.934 eV per atom

Unit cell a=2.897 b=4.455 c=4.455 alpha=90.03 beta=90.00 gamma=90.00
Positions (direct):
Be  0.000  0.500  0.000
Be  0.000  0.000  0.500
Si  0.500  0.500  0.500
Br  0.500  0.000  0.000

No. 17
A PBEsol-optimized structure of AlGe2PdW, computed with SCAN.

Unit cell a=4.563 b=4.563 c=4.593 alpha=90.00 beta=90.00 gamma=90.00
Positions (direct):
Ge  0.000  0.500  0.000
Ge  0.500  0.000  0.000
Pd  0.500  0.500  0.500
W  0.000  0.000  0.500
Al  0.000  0.000  0.000

No. 18
A PBEsol-optimized structure of BeTlSe2, computed with SCAN.

Values from the calculation:
Relative energy among the computed polymorphs   0.33 eV per formula unit
Energy relative to the elements, uncorrected   -0.331 eV per atom

Unit cell a=3.582 b=3.834 c=6.966 alpha=96.30 beta=90.00 gamma=117.85
Positions (direct):
Be  0.742  0.484  0.019
Tl  0.474  0.948  0.506
Se  0.062  0.125  0.168
Se  0.222  0.443  0.807

No. 19
A PBEsol-optimized structure of SiPPb2, computed with SCAN.

Values from the calculation:
Relative energy among the computed polymorphs   0.40 eV per formula unit
Energy relative to the elements, uncorrected   0.362 eV per atom

Unit cell a=3.390 b=3.390 c=9.283 alpha=90.00 beta=90.00 gamma=117.89
Positions (direct):
P  0.500  0.500  0.299
Pb  0.000  0.000  0.032
Pb  0.500  0.500  0.718
Si  0.000  0.000  0.451

No. 20
A PBEsol-optimized structure of Cs3LaO3, computed with SCAN.

Values from the calculation:
Relative energy among the computed polymorphs   0.00 eV per formula unit
Energy relative to the elements, uncorrected   -2.081 eV per atom

Unit cell a=7.602 b=8.082 c=12.584 alpha=93.20 beta=90.00 gamma=90.00
Positions (direct):
Cs  0.147  0.346  0.425
Cs  0.859  0.928  0.327
Cs  0.676  0.391  0.309
Cs  0.176  0.609  0.191
Cs  0.359  0.072  0.173
Cs  0.647  0.654  0.075
Cs  0.353  0.346  0.925
Cs  0.641  0.928  0.827
Cs  0.824  0.391  0.809
Cs  0.324  0.609  0.691
Cs  0.141  0.072  0.673
Cs  0.853  0.654  0.575
O  0.124  0.736  0.424
O  0.455  0.124  0.414
O  0.536  0.713  0.291
O  0.036  0.287  0.209
O  0.955  0.876  0.086
O  0.624  0.264  0.076
O  0.376  0.736  0.924
O  0.045  0.124  0.914
O  0.964  0.713  0.791
O  0.464  0.287  0.709
O  0.545  0.876  0.586
O  0.876  0.264  0.576
La  0.394  0.840  0.424
La  0.894  0.160  0.076
La  0.106  0.840  0.924
La  0.606  0.160  0.576

No. 21
A PBEsol-optimized structure of Y2InAs, computed with SCAN.

Values from the calculation:
Relative energy among the computed polymorphs   1.25 eV per formula unit

Unit cell a=4.230 b=5.460 c=5.460 alpha=60.09 beta=67.21 gamma=67.21
Positions (direct):
Y  0.271  0.729  0.729
Y  0.729  0.271  0.271
As  0.000  0.500  0.500
In  0.500  0.000  0.000

No. 22
A PBEsol-optimized structure of BeFeSb2I, computed with SCAN.

Values from the calculation:
Energy relative to the elements, uncorrected   0.963 eV per atom

Unit cell a=4.793 b=4.793 c=5.145 alpha=90.00 beta=90.00 gamma=90.00
Positions (direct):
I  0.000  0.000  0.500
Sb  0.000  0.500  0.000
Sb  0.500  0.000  0.000
Fe  0.500  0.500  0.500
Be  0.000  0.000  0.000

No. 23
A PBEsol-optimized structure of HfScHg2Sb, computed with SCAN.

Values from the calculation:
Energy relative to the elements, uncorrected   0.707 eV per atom

Unit cell a=5.125 b=5.125 c=5.212 alpha=90.00 beta=90.00 gamma=90.00
Positions (direct):
Sc  0.000  0.000  0.000
Sb  0.000  0.000  0.500
Hf  0.500  0.500  0.500
Hg  0.000  0.500  0.000
Hg  0.500  0.000  0.000

No. 24
A PBEsol-optimized structure of La4Mg, computed with SCAN.

Values from the calculation:
Relative energy among the computed polymorphs   1.68 eV per formula unit

Unit cell a=4.371 b=4.371 c=9.659 alpha=103.08 beta=103.08 gamma=90.00
Positions (direct):
La  0.750  0.250  0.500
La  0.250  0.750  0.500
La  0.586  0.586  0.172
La  0.414  0.414  0.828
Mg  0.000  0.000  0.000

No. 25
A PBEsol-optimized structure of Ho3Tl5, computed with SCAN.

Unit cell a=6.343 b=6.343 c=10.280 alpha=90.00 beta=90.00 gamma=102.36
Positions (direct):
Ho  0.392  0.392  0.750
Ho  0.608  0.608  0.250
Ho  0.207  0.793  0.000
Ho  0.793  0.207  0.500
Ho  0.793  0.207  0.000
Ho  0.207  0.793  0.500
Tl  0.001  0.001  0.750
Tl  0.999  0.999  0.250
Tl  0.699  0.699  0.537
Tl  0.301  0.301  0.037
Tl  0.699  0.699  0.963
Tl  0.301  0.301  0.463
Tl  0.936  0.491  0.750
Tl  0.064  0.509  0.250
Tl  0.491  0.936  0.750
Tl  0.509  0.064  0.250

No. 26
A PBEsol-optimized structure of MgZn4Cu2, computed with SCAN.

Values from the calculation:
Relative energy among the computed polymorphs   0.00 eV per formula unit

Unit cell a=4.900 b=5.102 c=5.102 alpha=76.67 beta=61.31 gamma=61.31
Positions (direct):
Cu  0.250  0.500  0.500
Cu  0.750  0.500  0.500
Mg  0.000  0.000  0.000
Zn  0.696  0.000  0.608
Zn  0.304  0.000  0.392
Zn  0.304  0.392  0.000
Zn  0.696  0.608  0.000

No. 27
A PBEsol-optimized structure of Zr3CrCu, computed with SCAN.

Unit cell a=4.712 b=4.712 c=4.712 alpha=90.00 beta=90.00 gamma=90.00
Positions (direct):
Cr  0.000  0.000  0.000
Cu  0.500  0.500  0.500
Zr  0.000  0.500  0.000
Zr  0.000  0.000  0.500
Zr  0.500  0.000  0.000

no.,total moment (μB/atom),mass density (Mg/m³),uncorrected energy (eV per atom)
1,0.168,6.84,-22.08
2,0.000,17.10,-70.01
3,0.186,8.29,-22.45
4,0.000,16.24,-55.06
5,1.093,7.62,-33.19
6,0.000,13.37,-60.60
7,0.000,4.60,-14.26
8,0.171,3.82,-22.20
9,1.230,12.21,-28.40
10,0.119,9.37,-52.90
11,0.574,15.75,-47.20
12,0.000,16.00,-49.79
13,0.000,8.45,-29.85
14,0.000,7.42,-34.55
15,0.845,7.98,-28.48
16,0.000,3.64,-8.61
17,0.000,8.03,-28.23
18,0.000,7.35,-29.55
19,0.000,8.34,-42.63
20,0.000,5.04,-27.11
21,0.000,6.24,-28.12
22,0.653,6.12,-25.79
23,0.000,9.05,-49.39
24,0.293,5.51,-35.18
25,0.000,12.47,-64.05
26,0.000,6.99,-12.88
27,0.000,6.18,-24.42